# 1
An optimized crystal structure of LiZrTe2. Source: Alexandria, functional PBE.

Properties
The total energy comes out at -18.916 eV/cell. Its total magnetization is 0.00 μB per formula unit. Its space group is C2/m, No. 12. As for the energy relative to the elements, uncorrected: -0.5427 eV per atom.

Cell: 5.484 5.484 3.454 Å, 102.54 102.54 90.56°
Positions (direct):
Li (0.000, 0.000, 0.000)
Zr (0.500, 0.500, 0.000)
Te (0.000, 0.500, 0.500)
Te (0.500, 0.000, 0.500)


# 2
An optimized crystal structure of CdCuPt. Source: Alexandria, functional PBE.

Properties
The total energy comes out at -11.485 eV/cell. The formation energy comes out at -0.144 eV per atom. Its total magnetization is 0.00 μB per formula unit. Its space group is P3m1, No. 156. The polymorph energy (0 for the lowest one) comes out at 29 meV per atom.

Cell: 4.433 4.433 2.864 Å, 90.00 90.00 120.00°
Positions (direct):
Cd (0.000, 0.000, 0.000)
Cu (0.333, 0.667, 0.512)
Pt (0.667, 0.333, 0.495)


# 3
An optimized crystal structure of Mn2SiIrS. Source: Alexandria, functional PBE.

Properties
The total energy comes out at -37.735 eV/cell. Its total magnetization is 2.36 μB per formula unit. Its space group is Pm, No. 6. As for the energy relative to the elements, uncorrected: -0.1970 eV per atom. The polymorph energy (0 for the lowest one) comes out at 91 meV per atom.

Cell: 3.632 2.837 7.472 Å, 90.00 102.87 90.00°
Positions (direct):
Mn (0.000, 0.000, 0.000)
Mn (0.446, 0.500, 0.883)
Si (0.844, 0.000, 0.667)
Ir (0.284, 0.500, 0.537)
S (0.126, 0.500, 0.219)


# 4
An optimized crystal structure of Li4Sm3InS8. Source: Alexandria, functional PBE.

Properties
The total energy comes out at -82.369 eV/cell. Its total magnetization is 0.00 μB per formula unit. Its space group is R-3m, No. 166. As for the energy relative to the elements, uncorrected: -1.5499 eV per atom.

Cell: 7.712 7.712 7.712 Å, 61.52 61.52 61.52°
Positions (direct):
Li (0.000, 0.000, 0.000)
Li (0.000, 0.500, 0.500)
Li (0.500, 0.000, 0.500)
Li (0.500, 0.500, 0.000)
Sm (0.000, 0.000, 0.500)
Sm (0.000, 0.500, 0.000)
Sm (0.500, 0.000, 0.000)
In (0.500, 0.500, 0.500)
S (0.252, 0.252, 0.252)
S (0.254, 0.254, 0.737)
S (0.254, 0.737, 0.254)
S (0.263, 0.746, 0.746)
S (0.737, 0.254, 0.254)
S (0.746, 0.263, 0.746)
S (0.746, 0.746, 0.263)
S (0.748, 0.748, 0.748)